Record 1
Density functional theory data (PBE-GGA) for a relaxed structure of HfGaO2F.

abc: 4.1187 4.1187 4.2334
angles: 90.00 90.00 90.00
Atoms (fractional coordinates):
Ga (0.5000, 0.5000, 0.5000)
O (0.0000, 0.5000, 0.0000)
O (0.5000, 0.0000, 0.0000)
F (0.0000, 0.0000, 0.5000)
Hf (0.0000, 0.0000, 0.0000)

## Properties
symmetry	P4/mmm, No. 123
total moment	0.0	μB/cell
uncorrected energy	-7.53	eV per atom



Record 2
Density functional theory data (PBE-GGA) for a relaxed structure of Zn2GeSb2.

abc: 3.9176 3.9176 7.9503
angles: 75.74 75.74 90.00
Atoms (fractional coordinates):
Sb (0.6131, 0.6131, 0.7739)
Ge (0.0000, 0.0000, 0.0000)
Sb (0.3869, 0.3869, 0.2261)
Zn (0.2500, 0.7500, 0.5000)
Zn (0.7500, 0.2500, 0.5000)

## Properties
symmetry	I4/mmm, No. 139
total moment	0.0	μB/cell
uncorrected energy	-2.87	eV per atom



Record 3
Density functional theory data (PBE-GGA) for a relaxed structure of La3Pr2Tl.

abc: 7.0593 6.7498 9.5741
angles: 99.25 111.63 90.00
Atoms (fractional coordinates):
Pr (0.5591, 0.0685, 0.3223)
La (0.2836, 0.5425, 0.3305)
Tl (0.2837, 0.2500, 0.0000)
Tl (0.7163, 0.7500, 0.0000)
La (0.7705, 0.2500, 0.0000)
La (0.0469, 0.0425, 0.3305)
La (0.7164, 0.4575, 0.6695)
Pr (0.7632, 0.5685, 0.3223)
Pr (0.2368, 0.4315, 0.6777)
La (0.9531, 0.9575, 0.6695)
Pr (0.4409, 0.9315, 0.6777)
La (0.2295, 0.7500, 0.0000)

## Properties
symmetry	C2/c, No. 15
formation energy	-0.089	eV per atom
total moment	0.0	μB/cell
uncorrected energy	-4.54	eV per atom



Record 4
Density functional theory data (PBE-GGA) for a relaxed structure of BaSc2Co.

abc: 5.0375 5.0375 5.0375
angles: 60.00 60.00 60.00
Atoms (fractional coordinates):
Co (0.0000, 0.0000, 0.0000)
Sc (0.7500, 0.7500, 0.7500)
Ba (0.5000, 0.5000, 0.5000)
Sc (0.2500, 0.2500, 0.2500)

## Properties
symmetry	Fm-3m, No. 225
formation energy	0.533	eV per atom
total moment	0.0	μB/cell
uncorrected energy	-4.89	eV per atom



Record 5
Density functional theory data (PBE-GGA) for a relaxed structure of NpScIrPd.

abc: 4.7710 4.7710 4.7710
angles: 60.00 60.00 60.00
Site moments in Bohr magnetons follow the coordinates.
Atoms (fractional coordinates):
Pd (0.5000, 0.5000, 0.5000)  0.00
Np (0.7500, 0.7500, 0.7500)  3.73
Sc (0.2500, 0.2500, 0.2500)  0.22
Ir (0.0000, 0.0000, 0.0000)  -0.13

## Properties
symmetry	F-43m, No. 216
formation energy	-0.499	eV per atom
total moment	4.2	μB/cell
uncorrected energy	-8.83	eV per atom



Record 6
Density functional theory data (PBE-GGA) for a relaxed structure of BeHgN2.

abc: 3.9636 3.9636 3.9636
angles: 60.00 60.00 60.00
Site moments in Bohr magnetons follow the coordinates.
Atoms (fractional coordinates):
N (0.7500, 0.7500, 0.7500)  0.64
N (0.2500, 0.2500, 0.2500)  0.64
Be (0.0000, 0.0000, 0.0000)  -0.04
Hg (0.5000, 0.5000, 0.5000)  0.09

## Properties
symmetry	Fm-3m, No. 225
total moment	1.7	μB/cell
uncorrected energy	-3.35	eV per atom